The following is a DFT calculation (GGA+U) of a relaxed structure of Li2MnP2O7.

Properties
Total DFT energy (no corrections), eV/atom: -6.9429
Density, g/cm³: 2.61
Polymorph energy (0 for the lowest one), meV/atom: 57

a b c (Å): 5.096 5.096 7.472
angles (deg): 70.06 70.06 60.00
Last column: magnetic moment on the atom in μB.
Atoms (fractional coordinates):
Li 0.754 0.754 0.739  0.00
Li 0.246 0.246 0.261  0.00
Mn 0.500 0.500 0.500  4.67
P 0.922 0.922 0.233  0.01
P 0.078 0.078 0.767  0.01
O 0.200 0.883 0.295  0.01
O 0.623 0.200 0.295  0.01
O 0.883 0.623 0.295  0.01
O 0.377 0.117 0.705  0.01
O 0.800 0.377 0.705  0.01
O 0.000 0.000 0.000  0.01
O 0.117 0.800 0.705  0.01